1.
The following is a DFT calculation (PBE-GGA) of a relaxed Tb3PrDy12 crystal.

```
Tb3PrDy12
1.0
5.028 0.000 0.000
0.000 5.028 0.000
0.000 0.000 20.112
Tb Pr Dy
3 1 12
Direct
0.000 0.000 0.000
0.000 0.000 0.249
0.000 0.000 0.751
0.000 0.000 0.500
0.000 0.500 0.124
0.000 0.500 0.373
0.000 0.500 0.627
0.000 0.500 0.876
0.500 0.000 0.124
0.500 0.000 0.373
0.500 0.000 0.627
0.500 0.000 0.876
0.500 0.500 0.000
0.500 0.500 0.248
0.500 0.500 0.500
0.500 0.500 0.752
```

Summary:
- Symmetry: P4/mmm, No. 123
- Total magnetization: 0.000 μB per atom
- ρ: 8.39 g/cm3
- DFT formation energy: 0.302 eV per formula unit
- Uncorrected energy: -4.60 eV per atom

***

2.
The following is a DFT calculation (PBE-GGA) of a relaxed Tb3Pr4Dy4 crystal.

```
Tb3Pr4Dy4
1.0
3.615 0.000 0.000
0.000 5.093 0.000
-1.769 -2.542 19.871
Tb Pr Dy
3 4 4
Direct
0.000 0.000 0.000
0.363 0.364 0.728
0.637 0.636 0.272
0.183 0.182 0.364
0.454 0.455 0.908
0.546 0.545 0.092
0.817 0.818 0.636
0.091 0.090 0.183
0.273 0.272 0.545
0.727 0.728 0.455
0.909 0.910 0.817
```

Summary:
- Symmetry: P-1, No. 2
- Energy above the lowest structure with this stoichiometry: 0.0 kJ/mol of atoms
- Total magnetization: 0.000 μB per atom
- ρ: 7.67 g/cm3
- DFT formation energy: 0.163 eV per formula unit
- Uncorrected energy: -4.66 eV per atom

***

3.
The following is a DFT calculation (PBE-GGA) of a relaxed Tb2PrDy crystal.

```
Tb2PrDy
1.0
8.096 0.000 0.000
0.000 8.096 0.000
0.000 0.000 8.096
Tb Pr Dy
8 4 4
Direct
0.250 0.250 0.250
0.250 0.250 0.750
0.250 0.750 0.250
0.250 0.750 0.750
0.750 0.250 0.250
0.750 0.250 0.750
0.750 0.750 0.250
0.750 0.750 0.750
0.000 0.000 0.000
0.000 0.500 0.500
0.500 0.000 0.500
0.500 0.500 0.000
0.000 0.000 0.500
0.000 0.500 0.000
0.500 0.000 0.000
0.500 0.500 0.500
```

Summary:
- Symmetry: Fm-3m, No. 225
- Energy above the lowest structure with this stoichiometry: 11.7 kJ/mol of atoms
- Total magnetization: 0.001 μB per atom
- ρ: 7.78 g/cm3
- DFT formation energy: 0.559 eV per formula unit
- Uncorrected energy: -4.52 eV per atom